1.
MoPt2, optimized geometry, DFT PBE-GGA; distance to the lowest polymorph of the same formula = 76 meV per atom; DFT total energy = -23.82 eV/f.u.; total moment = 0.00 μB/cell; calculated formation energy = -0.3033 eV per atom
1.0
2.7849 -0.0013 -0.0007
-1.3949 5.1942 -0.0019
-0.0007 -1.7140 6.4494
Mo Pt
2 4
Cartesian
0.0006 -1.1174 5.1917
1.3887 4.5963 1.2552
1.3949 0.4986 3.4306
-0.0027 1.7729 5.6095
1.3920 1.7060 0.8374
-0.0055 2.9802 3.0163

---

2.
MgFeW2, optimized geometry, DFT PBE-GGA; DFT total energy = -34.26 eV/f.u.; total moment = 2.22 μB/cell; calculated formation energy = 0.4268 eV per atom
1.0
5.0687 -0.0061 0.0000
2.2616 4.5362 0.0000
-3.6651 -2.2651 2.6698
Fe Mg W
1 1 2
Cartesian
1.1308 2.2681 1.3349
2.5344 -0.0030 1.3349
0.0000 0.0000 0.0000
3.6651 2.2651 0.0000

---

3.
TbDy2Y, optimized geometry, DFT PBE-GGA; distance to the lowest polymorph of the same formula = 1 meV per atom; DFT total energy = -20.27 eV/f.u.; total moment = 0.00 μB/cell; calculated formation energy = 0.0078 eV per atom
1.0
3.5821 0.0000 0.0000
1.7910 3.1022 0.0000
1.7910 1.0341 11.4699
Tb Dy Y
1 2 1
Cartesian
3.5821 2.0681 0.0062
1.7910 1.0341 8.6019
1.7910 1.0341 2.8745
3.5821 2.0681 5.7221